1.
DFT (PBE) results for a geometry-optimized VGa2Sb structure.

Cell lengths 7.7331, 7.7331, 6.1247 Å; angles 50.85, 50.85, 90.00 degrees
Closest atoms and distances in Å follow each position.
Atoms (fractional coordinates):
Sb1 0.0000 0.0000 0.0000  2 V 2.76, 4 Ga 2.90
Sb2 0.7500 0.2500 0.5000  2 V 2.76, 4 Ga 2.90
Ga1 0.6109 0.1250 0.2500  2 V 2.75, 2 Ga 2.77, 2 Sb 2.90
Ga2 0.1391 0.6250 0.2500  2 V 2.75, 2 Ga 2.77, 2 Sb 2.90
Ga3 0.3750 0.3891 0.7500  2 V 2.75, 2 Ga 2.77, 2 Sb 2.90
Ga4 0.8750 0.8609 0.7500  2 V 2.75, 2 Ga 2.77, 2 Sb 2.90
V1 0.5000 0.5000 0.0000  4 Ga 2.75, 2 Sb 2.76
V2 0.2500 0.7500 0.5000  4 Ga 2.75, 2 Sb 2.76

Values from the calculation:
Size of the total moment ... 2.64 μB per formula unit
Energy relative to the elements, uncorrected ... 30.5 kJ/mol of atoms
Space group ... I-42d (122)

2.
DFT (PBE) results for a geometry-optimized CaMnIn2I6 structure.

Cell lengths 8.2706, 8.2706, 8.3846 Å; angles 60.45, 60.45, 60.00 degrees
Closest atoms and distances in Å follow each position.
Atoms (fractional coordinates):
Ca1 0.8215 0.8215 0.5354  6 I 3.13-3.18
Mn1 0.3218 0.3218 0.0346  6 I 2.90-2.95
In1 0.5296 0.5296 0.4112  6 I 3.46-3.56
In2 0.0292 0.0292 0.9125  6 I 3.52
I1 0.5702 0.1722 0.2624  1 Mn 2.90, 1 Ca 3.18
I2 0.1722 0.9952 0.2624  1 Mn 2.90, 1 Ca 3.18
I3 0.9952 0.5703 0.2624  1 Mn 2.90, 1 Ca 3.18
I4 0.4735 0.6538 0.7781  1 Mn 2.95, 1 Ca 3.13
I5 0.6538 0.0946 0.7781  1 Mn 2.95, 1 Ca 3.13
I6 0.0946 0.4735 0.7781  1 Mn 2.95, 1 Ca 3.13

Values from the calculation:
Size of the total moment ... 4.93 μB per formula unit
Energy relative to the elements, uncorrected ... -72.1 kJ/mol of atoms
Space group ... R3 (146)

3.
DFT (PBE) results for a geometry-optimized LiMnSi2 structure.

Cell lengths 8.4072, 8.4072, 8.4072 Å; angles 18.60, 18.60, 18.60 degrees
Closest atoms and distances in Å follow each position.
Atoms (fractional coordinates):
Li1 0.2500 0.2500 0.2500  6 Si 2.70, 6 Li 2.72
Mn1 0.7500 0.7500 0.7500  6 Si 2.49, 6 Mn 2.72
Si1 0.0053 0.0053 0.0053  3 Mn 2.49, 3 Li 2.70, 6 Si 2.72
Si2 0.4947 0.4947 0.4947  3 Mn 2.49, 3 Li 2.70, 6 Si 2.72

Values from the calculation:
Size of the total moment ... 2.06 μB per formula unit
Energy above the lowest structure with this stoichiometry ... 0.27 eV/f.u.
Energy relative to the elements, uncorrected ... -12.0 kJ/mol of atoms
Space group ... R-3m (166)

4.
DFT (PBE) results for a geometry-optimized Ce3NpIr8 structure.

Cell lengths 5.3822, 5.3822, 9.3150 Å; angles 73.21, 73.21, 60.00 degrees
Closest atoms and distances in Å follow each position.
Atoms (fractional coordinates):
Ce1 0.3752 0.3752 0.8743  12 Ir 3.16-3.17, 4 Ce 3.31
Ce2 0.9988 0.9988 0.0036  12 Ir 3.14-3.19, 1 Np 3.27, 3 Ce 3.31
Ce3 0.5009 0.5009 0.4972  12 Ir 3.12-3.16, 3 Np 3.28, 1 Ce 3.31
Np1 0.8746 0.8746 0.3760  12 Ir 3.13-3.15, 4 Ce 3.27-3.28
Ir1 0.9370 0.4371 0.1889  6 Ir 2.67-2.70
Ir2 0.4387 0.9376 0.6860  6 Ir 2.69-2.70
Ir3 0.4371 0.4371 0.1889  6 Ir 2.67-2.70
Ir4 0.9376 0.9376 0.6860  6 Ir 2.69-2.70
Ir5 0.1877 0.1877 0.4368  6 Ir 2.67-2.69
Ir6 0.6876 0.6876 0.9372  6 Ir 2.70
Ir7 0.4371 0.9370 0.1889  6 Ir 2.67-2.70
Ir8 0.9376 0.4387 0.6860  6 Ir 2.69-2.70

Values from the calculation:
DFT formation energy ... -0.69 eV per atom
Size of the total moment ... 4.22 μB per formula unit
Space group ... R3m (160)

5.
DFT (PBE) results for a geometry-optimized Ac4CrGe5 structure.

Cell lengths 6.5078, 7.5186, 7.5186 Å; angles 79.20, 64.36, 64.36 degrees
Closest atoms and distances in Å follow each position.
Atoms (fractional coordinates):
Ac1 0.4313 0.3829 0.7764  6 Ge 3.08-3.32
Ac2 0.8142 0.7764 0.6171  6 Ge 3.08-3.32
Ac3 0.2076 0.2236 0.3829  6 Ge 3.08-3.32
Ac4 0.5906 0.6171 0.2236  6 Ge 3.08-3.32
Cr1 0.0368 0.0000 0.0000  5 Ge 2.39-2.56
Ge1 0.9156 0.3416 0.8400  1 Cr 2.56
Ge2 0.2572 0.8400 0.6584  1 Cr 2.56
Ge3 0.7556 0.1600 0.3416  1 Cr 2.56
Ge4 0.0972 0.6584 0.1600  1 Cr 2.56
Ge5 0.4042 0.0000 0.0000  1 Cr 2.39

Values from the calculation:
DFT formation energy ... -0.29 eV per atom
Size of the total moment ... 1.48 μB per formula unit
Space group ... I4 (79)

6.
DFT (PBE) results for a geometry-optimized LaPmSmSc structure.

Cell lengths 5.6813, 5.6813, 5.6813 Å; angles 60.00, 60.00, 60.00 degrees
Closest atoms and distances in Å follow each position.
Atoms (fractional coordinates):
Sc1 0.0000 0.0000 0.0000  4 Sm 3.48, 4 La 3.48
Pm1 0.5000 0.5000 0.5000  4 La 3.48, 4 Sm 3.48
Sm1 0.2500 0.2500 0.2500  4 Pm 3.48, 4 Sc 3.48
La1 0.7500 0.7500 0.7500  4 Pm 3.48, 4 Sc 3.48

Values from the calculation:
DFT formation energy ... 0.13 eV per atom
Size of the total moment ... 0.00 μB per formula unit
Space group ... F-43m (216)